Material: Ac2PdBr2
Method: DFT, PBE
State: optimized geometry

The structure belongs to space group R-3m (No. 166, hexagonal axes); the cell edges are 4.4052, 4.4052 and 33.9482 Å and the angles 90.00°, 90.00° and 120.00°. The inequivalent atoms are Ac at (0.0000, 0.0000, 0.1143), Pd at (0.0000, 0.0000, 0.5000) and Br at (0.0000, 0.0000, 0.2788).

The value obtained for the volume is 38.0 A^3/atom. The calculation puts the mass density at 6.29 g cm⁻³. Its total energy is -4.74 eV per atom. The density of states at the Fermi level is 0.151 states/eV/atom. For the uncorrected formation energy, the calculation gives -1.392 eV/atom.

---

Material: CsMgV
Method: DFT, PBE
State: optimized geometry

The structure belongs to space group P-1 (No. 2); the cell edges are 4.291, 4.297 and 13.754 Å and the angles 92.60°, 98.78° and 110.37°. The inequivalent atoms are Cs at (0.197, 0.115, 0.320), Mg at (0.436, 0.463, 0.894) and V at (0.132, 0.867, 0.000).

The value obtained for the volume is 38.9 A^3/atom. The calculation puts the mass density at 2.96 g cm⁻³. Its total energy is -3.33 eV per atom. The density of states at the Fermi level is 0.865 states/eV/atom. For the energy above the most stable polymorph in this dataset, the calculation gives 2.5 kJ/mol of atoms. The formation energy comes out at 0.5211 eV per atom.

---

Material: Tb6SmTm3
Method: DFT, PBE
State: optimized geometry

The structure belongs to space group Cmc2_1 (No. 36); the cell edges are 9.626, 20.890 and 6.360 Å and the angles 90.00°, 90.00° and 90.00°. The inequivalent atoms are Tb at (0.000, 0.016, 0.000), Tb at (0.000, 0.301, 0.976), Tb at (0.176, 0.281, 0.515), Tb at (0.180, 0.441, 0.761), Sm at (0.000, 0.161, 0.198), Tm at (0.000, 0.418, 0.284) and Tm at (0.169, 0.126, 0.674).

The value obtained for the volume is 32.0 A^3/atom. The calculation puts the mass density at 8.37 g cm⁻³. Its total energy is -4.47 eV per atom. The density of states at the Fermi level is 1.474 states/eV/atom. For the energy above the most stable polymorph in this dataset, the calculation gives 0.0 kJ/mol of atoms. The formation energy comes out at 0.1260 eV per atom.

---

Material: Tm6CS5
Method: DFT, PBE
State: optimized geometry

The structure belongs to space group C2/m (No. 12); the cell edges are 6.593, 11.396 and 6.599 Å and the angles 90.00°, 109.33° and 90.00°. The inequivalent atoms are Tm at (0.228, 0.000, 0.269), Tm at (0.228, 0.153, 0.728), C at (0.000, 0.000, 0.500), S at (0.000, 0.172, 0.000), S at (0.000, 0.334, 0.500) and S at (0.000, 0.500, 0.000).

The value obtained for the volume is 19.5 A^3/atom. The calculation puts the mass density at 8.42 g cm⁻³. Its total energy is -6.50 eV per atom. The density of states at the Fermi level is 0.355 states/eV/atom. For the uncorrected formation energy, the calculation gives -1.773 eV/atom.